This record from Alexandria via LeMat-Bulk describes a geometry-optimized CoAu2F4 structure. The functional is PBE+U.

Output
* space group: I4/mmm
* V: 109 Å³ per cell
* magnetic moment: 3.52 Bohr magnetons per cell
* energy: -26.268 eV per cell

The structure in CIF format:
```
data_CoAu2F4
_chemical_formula_sum 'Co1 Au2 F4'
_cell_length_a 8.3312
_cell_length_b 8.3312
_cell_length_c 8.3312
_cell_angle_alpha 154.24
_cell_angle_beta 154.24
_cell_angle_gamma 36.75
_symmetry_space_group_name_H-M 'P 1'
_symmetry_Int_Tables_number 1
loop_
_symmetry_equiv_pos_as_xyz
'x,y,z'
loop_
_atom_site_label
_atom_site_type_symbol
_atom_site_fract_x
_atom_site_fract_y
_atom_site_fract_z
Co1 Co 0.0000 0.0000 0.0000
Au1 Au 0.2874 0.2874 0.0000
Au2 Au 0.7126 0.7126 0.0000
F1 F 0.0000 0.5000 0.5000
F2 F 0.1286 0.1286 0.0000
F3 F 0.5000 0.0000 0.5000
F4 F 0.8714 0.8714 0.0000
```